The following is a DFT calculation (GGA-PBE) of Cs2NaMg2 after structural relaxation.

Computed properties:
For the offset from the most stable computed form, the calculation gives 0.096 eV/atom. The formation enthalpy at 0 K comes out at 0.2950 eV/atom.

Structure (POSCAR):
```
Cs2NaMg2
1.0
11.737 0.000 0.000
0.000 11.737 0.000
0.000 0.000 4.046
Cs Na Mg
4 2 4
Cartesian
2.248 3.621 0.000
3.621 9.489 0.000
8.116 2.248 0.000
9.489 8.116 0.000
0.000 0.000 0.000
5.868 5.868 0.000
1.104 6.972 2.023
4.765 1.104 2.023
6.972 10.633 2.023
10.633 4.765 2.023
```

The following is a DFT calculation (GGA-PBE) of CsNa2Mg after structural relaxation.

Computed properties:
The formation enthalpy at 0 K comes out at 0.1416 eV/atom.

Structure (POSCAR):
```
CsNa2Mg
1.0
2.925 1.689 6.985
-2.925 1.689 6.985
0.000 -3.378 6.985
Cs Na Mg
1 2 1
Cartesian
0.000 0.000 0.000
0.000 0.000 10.773
0.000 0.000 16.857
0.000 0.000 4.187
```

The following is a DFT calculation (GGA-PBE) of CsNaMg14 after structural relaxation.

Computed properties:
For the offset from the most stable computed form, the calculation gives 0.018 eV/atom. The formation enthalpy at 0 K comes out at 0.1772 eV/atom.

Structure (POSCAR):
```
CsNaMg14
1.0
6.681 0.000 0.000
-3.341 5.786 0.000
0.000 0.000 10.891
Cs Na Mg
1 1 14
Cartesian
0.000 0.000 0.000
0.000 0.000 5.445
-1.629 2.917 0.000
0.000 2.021 2.881
0.000 2.021 8.010
-1.591 4.776 2.881
-1.591 4.776 8.010
1.629 2.917 0.000
0.000 5.738 0.000
3.341 0.015 5.445
1.684 2.885 5.445
1.591 4.776 2.881
1.591 4.776 8.010
3.341 1.929 2.661
3.341 1.929 8.229
4.997 2.885 5.445
```

The following is a DFT calculation (GGA-PBE) of CsNaMg14 after structural relaxation.

Computed properties:
For the offset from the most stable computed form, the calculation gives 0.000 eV/atom. The formation enthalpy at 0 K comes out at 0.1595 eV/atom.

Structure (POSCAR):
```
CsNaMg14
1.0
11.065 0.000 0.000
0.000 3.201 5.907
0.000 -3.201 5.907
Cs Na Mg
1 1 14
Cartesian
0.000 0.000 0.000
0.000 0.000 5.940
0.000 -1.564 2.977
0.000 1.564 2.977
2.744 0.000 8.008
2.928 0.000 2.148
3.065 -1.578 4.998
3.065 1.578 4.998
5.532 -1.609 3.080
5.532 0.000 0.201
5.532 1.609 3.080
5.532 0.000 6.158
7.999 -1.578 4.998
7.999 1.578 4.998
8.137 0.000 2.148
8.321 0.000 8.008
```

The following is a DFT calculation (GGA-PBE) of CsNaMg6O7 after structural relaxation.

Computed properties:
The value obtained for the uncorrected formation energy is -1851 meV per atom.

Structure (POSCAR):
```
CsNaMg6O7
1.0
4.748 0.000 0.000
0.000 4.748 0.000
0.000 0.000 8.162
Cs Na Mg O
1 1 6 7
Cartesian
0.000 0.000 0.000
0.000 0.000 4.712
0.000 2.374 2.750
0.000 2.374 6.793
2.374 0.000 2.750
2.374 0.000 6.793
2.374 2.374 0.793
2.374 2.374 4.786
0.000 0.000 2.602
0.000 2.374 0.699
0.000 2.374 4.882
2.374 0.000 0.699
2.374 0.000 4.882
2.374 2.374 2.785
2.374 2.374 6.874
```

The following is a DFT calculation (GGA-PBE) of CsNaMg2Pd after structural relaxation.

Computed properties:
The formation enthalpy at 0 K comes out at -0.0856 eV/atom.

Structure (POSCAR):
```
CsNaMg2Pd
1.0
5.261 0.000 0.000
0.000 5.261 0.000
0.000 0.000 5.908
Cs Na Mg Pd
1 1 2 1
Cartesian
0.000 0.000 0.000
2.631 2.631 0.000
0.000 2.631 2.954
2.631 0.000 2.954
2.631 2.631 2.954
```

The following is a DFT calculation (GGA-PBE) of CsNa2MgPd after structural relaxation.

Computed properties:
The formation enthalpy at 0 K comes out at -0.0252 eV/atom.

Structure (POSCAR):
```
CsNa2MgPd
1.0
5.892 0.000 0.000
0.000 5.892 0.000
0.000 0.000 5.166
Cs Na Mg Pd
1 2 1 1
Cartesian
0.000 0.000 0.000
0.000 2.946 2.583
2.946 0.000 2.583
2.946 2.946 0.000
2.946 2.946 2.583
```

The following is a DFT calculation (GGA-PBE) of CsNa2MgPt after structural relaxation.

Computed properties:
The formation enthalpy at 0 K comes out at -0.0769 eV/atom.

Structure (POSCAR):
```
CsNa2MgPt
1.0
5.812 0.000 0.000
0.000 5.812 0.000
0.000 0.000 5.150
Cs Na Mg Pt
1 2 1 1
Cartesian
0.000 0.000 0.000
0.000 2.906 2.575
2.906 0.000 2.575
2.906 2.906 0.000
2.906 2.906 2.575
```

The following is a DFT calculation (GGA-PBE) of CsRbNaMg2 after structural relaxation.

Computed properties:
The formation enthalpy at 0 K comes out at 0.3297 eV/atom.

Structure (POSCAR):
```
CsRbNaMg2
1.0
6.329 0.000 0.000
0.000 6.329 0.000
0.000 0.000 6.728
Cs Rb Na Mg
1 1 1 2
Cartesian
0.000 0.000 0.000
3.164 3.164 0.000
3.164 3.164 3.364
0.000 3.164 3.364
3.164 0.000 3.364
```

The following is a DFT calculation (GGA-PBE) of CsRb2NaMg after structural relaxation.

Computed properties:
The formation enthalpy at 0 K comes out at 0.1755 eV/atom.

Structure (POSCAR):
```
CsRb2NaMg
1.0
7.445 0.000 0.000
0.000 7.445 0.000
0.000 0.000 6.627
Cs Rb Na Mg
1 2 1 1
Cartesian
0.000 0.000 0.000
0.000 3.722 3.313
3.722 0.000 3.313
3.722 3.722 0.000
3.722 3.722 3.313
```

The following is a DFT calculation (GGA-PBE) of Cs2RbNaMg after structural relaxation.

Computed properties:
The formation enthalpy at 0 K comes out at 0.1818 eV/atom.

Structure (POSCAR):
```
Cs2RbNaMg
1.0
7.816 0.000 0.000
0.000 7.816 0.000
0.000 0.000 6.490
Cs Rb Na Mg
2 1 1 1
Cartesian
0.000 3.908 0.000
3.908 0.000 0.000
0.000 0.000 3.245
3.908 3.908 3.245
3.908 3.908 0.000
```

The following is a DFT calculation (GGA-PBE) of CsRbNa2Mg after structural relaxation.

Computed properties:
The formation enthalpy at 0 K comes out at 0.1804 eV/atom.

Structure (POSCAR):
```
CsRbNa2Mg
1.0
6.554 0.000 0.000
0.000 6.554 0.000
0.000 0.000 7.129
Cs Rb Na Mg
1 1 2 1
Cartesian
0.000 0.000 0.000
3.277 3.277 0.000
0.000 3.277 3.565
3.277 0.000 3.565
3.277 3.277 3.565
```